1.
Density functional theory data (PBE) for a relaxed Rb2LaZrBr6 crystal.

```
Rb2LaZrBr6
1.0
0.000 5.713 5.713
5.713 0.000 5.713
5.713 5.713 0.000
Rb La Zr Br
2 1 1 6
direct
0.250 0.250 0.250
0.750 0.750 0.750
0.000 0.000 0.000
0.500 0.500 0.500
0.257 0.257 0.743
0.257 0.743 0.257
0.257 0.743 0.743
0.743 0.257 0.257
0.743 0.257 0.743
0.743 0.743 0.257
```

Symmetry ... Fm-3m
E_tot ... -3.989 eV per atom
Total magnetic moment ... 3.0 Bohr magnetons per cell
ΔE_f (raw) ... -14.4 eV per formula unit


2.
Density functional theory data (PBE) for a relaxed Ba2SrSn2 crystal.

```
Ba2SrSn2
1.0
10.188 0.000 0.000
0.000 10.188 0.000
0.000 0.000 3.838
Ba Sr Sn
4 2 4
direct
0.123 0.377 0.000
0.377 0.877 0.000
0.623 0.123 0.000
0.877 0.623 0.000
0.000 0.000 0.000
0.500 0.500 0.000
0.175 0.675 0.500
0.325 0.175 0.500
0.675 0.825 0.500
0.825 0.325 0.500
```

Symmetry ... P4/mbm
E_tot ... -3.141 eV per atom
Total magnetic moment ... 0.0 Bohr magnetons per cell
Energy relative to the elements ... -0.434 eV/atom


3.
Density functional theory data (PBE) for a relaxed CuPd8Pt6 crystal.

```
CuPd8Pt6
1.0
10.279 0.000 0.000
-5.140 8.902 0.000
0.000 0.000 2.719
Cu Pd Pt
1 8 6
direct
0.000 0.000 0.000
0.081 0.806 0.262
0.194 0.274 0.262
0.274 0.081 0.738
0.333 0.667 0.748
0.667 0.333 0.252
0.726 0.919 0.262
0.806 0.726 0.738
0.919 0.194 0.738
0.086 0.459 0.247
0.374 0.914 0.247
0.459 0.374 0.753
0.541 0.626 0.247
0.626 0.086 0.753
0.914 0.541 0.753
```

Symmetry ... P-3
E_tot ... -5.303 eV per atom
Total magnetic moment ... 0.0 Bohr magnetons per cell
Energy relative to the elements ... 0.156 eV/atom